The following is a DFT calculation (PBE-GGA) of an optimized crystal structure of Mg3Zr2Sc.

a = 19.892 Å, b = 3.173 Å, c = 10.167 Å
α = 90.00°, β = 120.64°, γ = 90.00°
Space group C2/m (No. 12)
Symmetry-distinct sites (fractional):
Mg: 0.054 0.000 0.179
Mg: 0.055 0.000 0.681
Mg: 0.111 0.500 0.984
Zr: 0.222 0.500 0.348
Zr: 0.227 0.500 0.852
Sc: 0.117 0.500 0.493

- Density of states at the Fermi level: 0.910 states/eV per atom
- Energy: -4.706 eV/atom
- Volume: 552.13 Å³/cell
- Size of the total moment: 0.0 μB per cell
- Formation energy from the elements: -0.004 eV per atom
- Density: 3.6 g/cm³

---

The following is a DFT calculation (PBE-GGA) of an optimized crystal structure of Mg4ZrSc.

a = 3.096 Å, b = 5.041 Å, c = 8.723 Å
α = 90.01°, β = 90.04°, γ = 90.08°
Space group P-1 (No. 2)
Symmetry-distinct sites (fractional):
Mg: 0.008 0.000 0.166
Mg: 0.008 0.500 0.667
Zr: 0.500 0.500 0.000
Sc: 0.500 0.000 0.500

- Density of states at the Fermi level: 1.026 states/eV per atom
- Energy: -3.508 eV/atom
- Volume: 136.12 Å³/cell
- Size of the total moment: 0.0 μB per cell
- Formation energy from the elements: 0.035 eV per atom
- Density: 2.8 g/cm³

---

The following is a DFT calculation (PBE-GGA) of an optimized crystal structure of MgZrSc3.

a = 5.229 Å, b = 5.229 Å, c = 5.229 Å
α = 90.00°, β = 90.00°, γ = 90.00°
Space group Pm-3m (No. 221)
Symmetry-distinct sites (fractional):
Mg: 0.000 0.000 0.000
Zr: 0.500 0.500 0.500
Sc: 0.000 0.500 0.500

- Density of states at the Fermi level: 1.404 states/eV per atom
- Energy: -5.128 eV/atom
- Volume: 142.96 Å³/cell
- Size of the total moment: 0.0 μB per cell
- Formation energy from the elements: 0.699 eV per atom
- Density: 2.9 g/cm³

---

The following is a DFT calculation (PBE-GGA) of an optimized crystal structure of Mg3Zr2Sc2.

a = 3.181 Å, b = 32.618 Å, c = 3.171 Å
α = 90.00°, β = 90.00°, γ = 90.00°
Space group Cmmm (No. 65)
Symmetry-distinct sites (fractional):
Mg: 0.000 0.000 0.000
Mg: 0.000 0.432 0.500
Zr: 0.000 0.292 0.500
Sc: 0.000 0.141 0.000

- Density of states at the Fermi level: 0.837 states/eV per atom
- Energy: -4.912 eV/atom
- Volume: 329.02 Å³/cell
- Size of the total moment: 0.0 μB per cell
- Formation energy from the elements: 0.023 eV per atom
- Density: 3.5 g/cm³

---

The following is a DFT calculation (PBE-GGA) of an optimized crystal structure of MgZr2Sc2.

a = 7.966 Å, b = 7.966 Å, c = 3.740 Å
α = 90.00°, β = 90.00°, γ = 90.00°
Space group P4/mbm (No. 127)
Symmetry-distinct sites (fractional):
Mg: 0.000 0.000 0.000
Zr: 0.142 0.358 0.500
Sc: 0.150 0.650 0.000

- Density of states at the Fermi level: 0.845 states/eV per atom
- Energy: -6.081 eV/atom
- Volume: 237.29 Å³/cell
- Size of the total moment: 0.0 μB per cell
- Formation energy from the elements: 0.189 eV per atom
- Density: 4.2 g/cm³

---

The following is a DFT calculation (PBE-GGA) of an optimized crystal structure of MgZr2Sc2.

a = 8.206 Å, b = 8.206 Å, c = 3.563 Å
α = 90.00°, β = 90.00°, γ = 90.00°
Space group P4/mbm (No. 127)
Symmetry-distinct sites (fractional):
Mg: 0.000 0.000 0.000
Zr: 0.128 0.372 0.000
Sc: 0.169 0.669 0.500

- Density of states at the Fermi level: 2.136 states/eV per atom
- Energy: -6.091 eV/atom
- Volume: 239.93 Å³/cell
- Size of the total moment: 0.0 μB per cell
- Formation energy from the elements: 0.180 eV per atom
- Density: 4.1 g/cm³